Entry 1:
A plane-wave DFT calculation with PBE was carried out for a relaxed Cu2IrOs crystal.

POSCAR file:
```
Cu2IrOs
1.0
4.2367 0.0000 0.0000
0.0000 4.2367 0.0000
0.0000 0.0000 2.9259
Cu Ir Os
2 1 1
direct
0.0000 0.5000 0.0000
0.5000 0.0000 0.0000
0.0000 0.0000 0.5000
0.5000 0.5000 0.5000
```

Values from the calculation:
As for the calculated total energy: -6.59 eV/atom. The calculation puts the calculated density at 16.1 g/cm3. Its space group is P4/mmm, No. 123.

Entry 2:
A plane-wave DFT calculation with PBE was carried out for a relaxed CuIrOs2 crystal.

POSCAR file:
```
CuIrOs2
1.0
2.7074 0.0000 0.0000
0.0000 2.7074 0.0000
0.0000 0.0000 7.6010
Cu Ir Os
1 1 2
direct
0.0000 0.0000 0.0000
0.0000 0.0000 0.5000
0.5000 0.5000 0.2465
0.5000 0.5000 0.7535
```

Values from the calculation:
As for the calculated total energy: -8.54 eV/atom. The calculation puts the calculated density at 19.0 g/cm3. Its space group is P4/mmm, No. 123.

Entry 3:
A plane-wave DFT calculation with PBE was carried out for a relaxed Cu2IrOs crystal.

POSCAR file:
```
Cu2IrOs
1.0
0.0000 2.9736 2.9736
2.9736 0.0000 2.9736
2.9736 2.9736 0.0000
Cu Ir Os
2 1 1
direct
0.2500 0.2500 0.2500
0.7500 0.7500 0.7500
0.0000 0.0000 0.0000
0.5000 0.5000 0.5000
```

Values from the calculation:
As for the calculated total energy: -6.59 eV/atom. The calculation puts the calculated density at 16.1 g/cm3. Its space group is Fm-3m, No. 225.

Entry 4:
A plane-wave DFT calculation with PBE was carried out for a relaxed Cu2IrOs crystal.

POSCAR file:
```
Cu2IrOs
1.0
-3.4211 3.4211 2.5041
3.4211 -3.4211 2.5041
3.4211 3.4211 -2.5041
Cu Ir Os
4 2 2
direct
0.1228 0.6250 0.9978
0.3750 0.3728 0.4978
0.6272 0.1250 0.0022
0.8750 0.8772 0.5022
0.2500 0.7500 0.5000
0.5000 0.5000 0.0000
0.0000 0.0000 0.0000
0.7500 0.2500 0.5000
```

Values from the calculation:
As for the calculated total energy: -6.13 eV/atom. The calculation puts the calculated density at 14.4 g/cm3. Its space group is I-42d, No. 122.

> Which value of calculated total energy does entry 2 give?

-8.54 eV/atom